Record 1
Density functional theory data (PBEsol) for a relaxed structure of Ba2HWI.

Results
Energy ... -19.6 eV per cell
DOS(E_F) ... 4.23 states/eV/f.u.
Symmetry ... P4/mmm, No. 123

abc: 5.1576 5.1576 5.4003
angles: 90.00 90.00 90.00
Fractional positions:
Ba 0.0000 0.5000 0.0000
Ba 0.5000 0.0000 0.0000
H 0.0000 0.0000 0.0000
W 0.5000 0.5000 0.5000
I 0.0000 0.0000 0.5000

***

Record 2
Density functional theory data (PBEsol) for a relaxed structure of KRh3N.

Results
Energy ... -31.6 eV per cell
DOS(E_F) ... 4.18 states/eV/f.u.
Symmetry ... Pm-3m, No. 221

abc: 4.1380 4.1380 4.1380
angles: 90.00 90.00 90.00
Fractional positions:
K 0.0000 0.0000 0.0000
Rh 0.0000 0.5000 0.5000
Rh 0.5000 0.0000 0.5000
Rh 0.5000 0.5000 0.0000
N 0.5000 0.5000 0.5000

***

Record 3
Density functional theory data (PBEsol) for a relaxed structure of Sn2Pt.

Results
Energy relative to the elements ... -465 meV per atom
DOS(E_F) ... 1.03 states/eV/f.u.
Symmetry ... Fm-3m, No. 225

abc: 4.5542 4.5542 4.5542
angles: 60.00 60.00 60.00
Fractional positions:
Sn 0.2500 0.2500 0.2500
Sn 0.7500 0.7500 0.7500
Pt 0.0000 0.0000 0.0000

***

Record 4
Density functional theory data (PBEsol) for a relaxed structure of TlAgF2.

Results
Distance to the lowest polymorph of the same formula ... 10 meV per atom
DOS(E_F) ... 0.00 states/eV/f.u.
Symmetry ... Fm-3m, No. 225

abc: 4.4248 4.4248 4.4248
angles: 60.00 60.00 60.00
Fractional positions:
Tl 0.0000 0.0000 0.0000
Ag 0.5000 0.5000 0.5000
F 0.2500 0.2500 0.2500
F 0.7500 0.7500 0.7500

***

Record 5
Density functional theory data (PBEsol) for a relaxed structure of ScIr2N.

Results
Energy ... -71.1 eV per cell
DOS(E_F) ... 1.94 states/eV/f.u.
Symmetry ... I-42d, No. 122

abc: 5.3808 5.3808 5.3808
angles: 102.06 102.06 125.60
Fractional positions:
Sc 0.0000 0.0000 0.0000
Sc 0.7500 0.2500 0.5000
Ir 0.2500 0.6250 0.1250
Ir 0.3750 0.5000 0.6250
Ir 0.5000 0.1250 0.8750
Ir 0.8750 0.7500 0.3750
N 0.2500 0.7500 0.5000
N 0.5000 0.5000 0.0000

***

Record 6
Density functional theory data (PBEsol) for a relaxed structure of CsNb2RuS.

Results
Energy ... -22.7 eV per cell
DOS(E_F) ... 7.56 states/eV/f.u.
Symmetry ... P4/mmm, No. 123

abc: 5.0404 5.0404 4.6897
angles: 90.00 90.00 90.00
Fractional positions:
Cs 0.0000 0.0000 0.0000
Nb 0.0000 0.5000 0.0000
Nb 0.5000 0.0000 0.0000
Ru 0.0000 0.0000 0.5000
S 0.5000 0.5000 0.5000